# 1
{
  "formula": "CsCaMg3",
  "functional": "PBE",
  "state": "relaxed",
  "lattice": [[6.341, 0.000, 0.000], [0.000, 6.341, 0.000], [0.000, 0.000, 6.341]],
  "species": ["Mg", "Mg", "Mg", "Ca", "Cs"],
  "fractional_positions": [[0.000, 0.000, 0.500], [0.500, 0.000, 0.000], [0.000, 0.500, 0.000], [0.500, 0.500, 0.500], [0.000, 0.000, 0.000]],
  "dos_at_fermi_per_ev_cell": 3.34,
  "spacegroup": "No. 221",
  "delta_e_f_mev_per_atom": 981.5,
  "dft_energy_ev_per_atom": -0.55,
  "mass_density_g_cm3": 1.6,
  "de_polymorph_ev_per_atom": 0.4203
}

=====

# 2
{
  "formula": "CsCa2Mg",
  "functional": "PBE",
  "state": "relaxed",
  "lattice": [[4.002, 0.000, 0.000], [2.001, 3.466, 0.000], [2.001, 1.155, 13.116]],
  "species": ["Mg", "Ca", "Ca", "Cs"],
  "fractional_positions": [[0.500, 0.500, 0.500], [0.102, 0.102, 0.694], [0.898, 0.898, 0.306], [0.000, 0.000, 0.000]],
  "dos_at_fermi_per_ev_cell": 5.23,
  "spacegroup": "No. 166",
  "delta_e_f_mev_per_atom": 222.8,
  "dft_energy_ev_per_atom": -1.39,
  "mass_density_g_cm3": 2.2
}

=====

# 3
{
  "formula": "CsCa2MgN",
  "functional": "PBE",
  "state": "relaxed",
  "lattice": [[6.969, 0.000, 0.000], [0.000, 3.924, 0.000], [0.000, 0.000, 6.969]],
  "species": ["Ca", "Ca", "N", "Mg", "Cs"],
  "fractional_positions": [[0.500, 0.000, 0.000], [0.000, 0.000, 0.500], [0.000, 0.500, 0.000], [0.000, 0.000, 0.000], [0.500, 0.500, 0.500]],
  "raw_formation_energy_ev_per_atom": 0.608,
  "dos_at_fermi_per_ev_cell": 3.58,
  "spacegroup": "No. 123",
  "dft_energy_ev_per_atom": -2.35,
  "mass_density_g_cm3": 2.2
}

=====

# 4
{
  "formula": "CsCa2MgNi",
  "functional": "PBE",
  "state": "relaxed",
  "lattice": [[5.694, 0.000, 0.000], [0.000, 5.694, 0.000], [0.000, 0.000, 5.355]],
  "species": ["Ca", "Ca", "Mg", "Cs", "Ni"],
  "fractional_positions": [[0.000, 0.500, 0.000], [0.500, 0.000, 0.000], [0.000, 0.000, 0.500], [0.500, 0.500, 0.500], [0.000, 0.000, 0.000]],
  "dos_at_fermi_per_ev_cell": 3.46,
  "spacegroup": "No. 123",
  "delta_e_f_mev_per_atom": 120.7,
  "dft_energy_ev_per_atom": -2.33,
  "mass_density_g_cm3": 2.8
}